Entry from Alexandria via LeMat-Bulk: crystalline Pm8TcRh3Br4 at its relaxed geometry (PBE).

CIF file:
```
data_Pm8TcRh3Br4
_chemical_formula_sum 'Pm24 Tc3 Rh9 Br12'
_cell_length_a 8.1321
_cell_length_b 8.1321
_cell_length_c 23.5643
_cell_angle_alpha 90.00
_cell_angle_beta 90.00
_cell_angle_gamma 120.00
_symmetry_space_group_name_H-M 'R -3 m'
_symmetry_Int_Tables_number 166
_symmetry_space_group_name_Hall '-R 3 2"'
loop_
_atom_site_label
_atom_site_fract_x
_atom_site_fract_y
_atom_site_fract_z
Pm1 0.0000 0.0000 0.2310
Pm2 0.0066 0.5033 0.2334
Tc1 0.0000 0.0000 0.5000
Rh1 0.0000 0.5000 0.5000
Br1 0.0000 0.0000 0.0000
Br2 0.0000 0.5000 0.0000
```

Calculated values
VASP energy = -5.745 eV/atom
formation energy from raw total energies = -0.926 eV per atom